Arrangement A

## AlPtNO (PBE)

Data for a relaxed AlPtNO crystal.

Cell: 3.6619 3.6619 7.6617 Å, 90.00 90.00 90.00°
Positions (direct):
Al 0.2500 0.2500 0.0896
Al 0.7500 0.7500 0.9104
Pt 0.2500 0.7500 0.5000
Pt 0.7500 0.2500 0.5000
N 0.2500 0.2500 0.3290
N 0.7500 0.7500 0.6710
O 0.2500 0.7500 0.0000
O 0.7500 0.2500 0.0000

Values from the calculation:
Total magnetization, μB/f.u.: 0.40
Space group: No. 129

---

Arrangement B

## AlPtNO (PBE)

Data for a relaxed AlPtNO crystal.

Cell: 2.8717 5.8589 5.8587 Å, 90.00 90.00 90.00°
Positions (direct):
Al 0.0000 0.1194 0.0000
Al 0.0000 0.8806 0.5000
Pt 0.5000 0.3947 0.3725
Pt 0.5000 0.6053 0.8725
N 0.0000 0.1524 0.3265
N 0.0000 0.8476 0.8265
O 0.5000 0.2460 0.8821
O 0.5000 0.7540 0.3821

Values from the calculation:
Total magnetization, μB/f.u.: 0.00
Space group: No. 26

---

Stability summary: most stable arrangement B, least stable arrangement A.

---

Arrangement A

## AlReNO (PBE)

Data for a relaxed AlReNO crystal.

Cell: 5.2240 7.5829 4.8628 Å, 90.00 90.00 90.00°
Positions (direct):
Al 0.0708 0.1160 0.0000
Al 0.4292 0.1160 0.5000
Al 0.5708 0.8840 0.0000
Al 0.9292 0.8840 0.5000
Re 0.1165 0.5307 0.9250
Re 0.3835 0.5307 0.4250
Re 0.6165 0.4693 0.9250
Re 0.8835 0.4693 0.4250
N 0.0914 0.6800 0.5839
N 0.4086 0.6800 0.0839
N 0.5914 0.3200 0.5839
N 0.9086 0.3200 0.0839
O 0.1257 0.0586 0.6483
O 0.3743 0.0586 0.1483
O 0.6257 0.9414 0.6483
O 0.8743 0.9414 0.1483

Values from the calculation:
Total magnetization, μB/f.u.: 0.00
Space group: No. 29

---

Arrangement B

## AlReNO (PBE)

Data for a relaxed AlReNO crystal.

Cell: 3.6787 3.6787 7.0070 Å, 90.00 90.00 90.00°
Positions (direct):
Al 0.2500 0.7500 0.0000
Al 0.7500 0.2500 0.0000
Re 0.2500 0.2500 0.3408
Re 0.7500 0.7500 0.6592
N 0.2500 0.2500 0.0489
N 0.7500 0.7500 0.9511
O 0.2500 0.7500 0.5000
O 0.7500 0.2500 0.5000

Values from the calculation:
Total magnetization, μB/f.u.: 0.03
Space group: No. 129

---

Arrangement C

## AlReNO (PBE)

Data for a relaxed AlReNO crystal.

Cell: 3.6654 3.6654 6.3461 Å, 90.00 90.00 90.00°
Positions (direct):
Al 0.2500 0.2500 0.1050
Al 0.7500 0.7500 0.8950
Re 0.2500 0.7500 0.5000
Re 0.7500 0.2500 0.5000
N 0.2500 0.2500 0.6635
N 0.7500 0.7500 0.3365
O 0.2500 0.7500 0.0000
O 0.7500 0.2500 0.0000

Values from the calculation:
Total magnetization, μB/f.u.: 0.00
Space group: No. 129

---

Arrangement D

## AlReNO (PBE)

Data for a relaxed AlReNO crystal.

Cell: 3.7072 3.7072 7.2313 Å, 90.00 90.00 90.00°
Positions (direct):
Al 0.2500 0.7500 0.0000
Al 0.7500 0.2500 0.0000
Re 0.2500 0.2500 0.3810
Re 0.7500 0.7500 0.6190
N 0.2500 0.2500 0.9425
N 0.7500 0.7500 0.0575
O 0.2500 0.7500 0.5000
O 0.7500 0.2500 0.5000

Values from the calculation:
Total magnetization, μB/f.u.: 0.21
Space group: No. 129

---

Stability summary: most stable arrangement A, least stable arrangement D.

---

Arrangement A

## AlReNO (PBE)

Data for a relaxed AlReNO crystal.

Cell: 2.9632 5.8824 4.9347 Å, 90.00 90.00 90.00°
Positions (direct):
Al 0.0000 0.1317 0.0000
Al 0.0000 0.8683 0.5000
Re 0.5000 0.4138 0.5632
Re 0.5000 0.5862 0.0632
N 0.0000 0.1659 0.6278
N 0.0000 0.8341 0.1278
O 0.5000 0.2398 0.1568
O 0.5000 0.7602 0.6568

Values from the calculation:
Total magnetization, μB/f.u.: 0.00
Space group: No. 26

---

Arrangement B

## AlReNO (PBE)

Data for a relaxed AlReNO crystal.

Cell: 3.0113 5.8252 4.9617 Å, 90.00 90.00 90.00°
Positions (direct):
Al 0.0000 0.1558 0.0000
Al 0.0000 0.8442 0.5000
Re 0.5000 0.4147 0.4563
Re 0.5000 0.5853 0.9563
N 0.5000 0.2562 0.8315
N 0.5000 0.7438 0.3315
O 0.0000 0.1436 0.3665
O 0.0000 0.8564 0.8665

Values from the calculation:
Total magnetization, μB/f.u.: 0.03
Space group: No. 26

---

Stability summary: most stable arrangement A, least stable arrangement B.

---

Arrangement A

## TaAlNO (PBE)

Data for a relaxed TaAlNO crystal.

Cell: 5.3893 6.7766 5.0696 Å, 90.00 90.00 90.00°
Positions (direct):
Ta 0.0657 0.0823 0.0000
Ta 0.4343 0.0823 0.5000
Ta 0.5657 0.9177 0.0000
Ta 0.9343 0.9177 0.5000
Al 0.1027 0.6016 0.9512
Al 0.3973 0.6016 0.4512
Al 0.6027 0.3984 0.9512
Al 0.8973 0.3984 0.4512
N 0.0710 0.6204 0.5808
N 0.4290 0.6204 0.0808
N 0.5710 0.3796 0.5808
N 0.9290 0.3796 0.0808
O 0.0796 0.2041 0.6029
O 0.4204 0.2041 0.1029
O 0.5796 0.7959 0.6029
O 0.9204 0.7959 0.1029

Values from the calculation:
Total magnetization, μB/f.u.: 0.64
Space group: No. 29

---

Arrangement B

## TaAlNO (PBE)

Data for a relaxed TaAlNO crystal.

Cell: 5.2177 6.8007 5.1641 Å, 90.00 90.00 90.00°
Positions (direct):
Ta 0.0266 0.0893 0.0000
Ta 0.4734 0.0893 0.5000
Ta 0.5266 0.9107 0.0000
Ta 0.9734 0.9107 0.5000
Al 0.0662 0.6418 0.9439
Al 0.4338 0.6418 0.4439
Al 0.5662 0.3582 0.9439
Al 0.9338 0.3582 0.4439
N 0.1339 0.1961 0.6485
N 0.3661 0.1961 0.1485
N 0.6339 0.8039 0.6485
N 0.8661 0.8039 0.1485
O 0.1092 0.5845 0.5813
O 0.3908 0.5845 0.0813
O 0.6092 0.4155 0.5813
O 0.8908 0.4155 0.0813

Values from the calculation:
Total magnetization, μB/f.u.: 0.00
Space group: No. 29

---

Stability summary: most stable arrangement A, least stable arrangement B.

---

Arrangement A

## TaAlNO (PBE)

Data for a relaxed TaAlNO crystal.

Cell: 3.0164 5.9632 5.1823 Å, 90.00 90.00 90.00°
Positions (direct):
Ta 0.0000 0.0963 0.0000
Ta 0.0000 0.9037 0.5000
Al 0.5000 0.3437 0.5391
Al 0.5000 0.6563 0.0391
N 0.0000 0.2296 0.3841
N 0.0000 0.7704 0.8841
O 0.5000 0.3724 0.8946
O 0.5000 0.6276 0.3946

Values from the calculation:
Total magnetization, μB/f.u.: 0.00
Space group: No. 26

---

Arrangement B

## TaAlNO (PBE)

Data for a relaxed TaAlNO crystal.

Cell: 3.0621 5.9271 5.1376 Å, 90.00 90.00 90.00°
Positions (direct):
Ta 0.0000 0.0948 0.0000
Ta 0.0000 0.9052 0.5000
Al 0.5000 0.3686 0.5857
Al 0.5000 0.6314 0.0857
N 0.5000 0.3371 0.9536
N 0.5000 0.6629 0.4536
O 0.0000 0.2641 0.4395
O 0.0000 0.7359 0.9395

Values from the calculation:
Total magnetization, μB/f.u.: 0.00
Space group: No. 26

---

Arrangement C

## TaAlNO (PBE)

Data for a relaxed TaAlNO crystal.

Cell: 3.4754 3.4754 7.1387 Å, 90.00 90.00 90.00°
Positions (direct):
Ta 0.2500 0.2500 0.1696
Ta 0.7500 0.7500 0.8304
Al 0.2500 0.7500 0.5000
Al 0.7500 0.2500 0.5000
N 0.2500 0.2500 0.6872
N 0.7500 0.7500 0.3128
O 0.2500 0.7500 0.0000
O 0.7500 0.2500 0.0000

Values from the calculation:
Total magnetization, μB/f.u.: 0.05
Space group: No. 129

---

Stability summary: most stable arrangement A, least stable arrangement C.

---

Arrangement A

## TmAlNO (PBE)

Data for a relaxed TmAlNO crystal.

Cell: 5.7134 7.3591 4.9446 Å, 90.00 90.00 90.00°
Positions (direct):
Tm 0.0473 0.1319 0.0000
Tm 0.4527 0.1319 0.5000
Tm 0.5473 0.8681 0.0000
Tm 0.9527 0.8681 0.5000
Al 0.0874 0.5965 0.9524
Al 0.4126 0.5965 0.4524
Al 0.5874 0.4035 0.9524
Al 0.9126 0.4035 0.4524
N 0.1028 0.5927 0.5739
N 0.3972 0.5927 0.0739
N 0.6028 0.4073 0.5739
N 0.8972 0.4073 0.0739
O 0.0690 0.1859 0.5195
O 0.4310 0.1859 0.0195
O 0.5690 0.8141 0.5195
O 0.9310 0.8141 0.0195

Values from the calculation:
Total magnetization, μB/f.u.: 0.93
Space group: No. 29

---

Arrangement B

## TmAlNO (PBE)

Data for a relaxed TmAlNO crystal.

Cell: 3.3368 6.2498 5.1436 Å, 90.00 90.00 90.00°
Positions (direct):
Tm 0.0000 0.1624 0.0000
Tm 0.0000 0.8376 0.5000
Al 0.5000 0.3523 0.5352
Al 0.5000 0.6477 0.0352
N 0.5000 0.3767 0.8958
N 0.5000 0.6233 0.3958
O 0.0000 0.2199 0.4507
O 0.0000 0.7801 0.9507

Values from the calculation:
Total magnetization, μB/f.u.: 0.94
Space group: No. 26

---

Arrangement C

## TmAlNO (PBE)

Data for a relaxed TmAlNO crystal.

Cell: 4.4663 4.4663 5.0027 Å, 90.00 90.00 90.00°
Positions (direct):
Tm 0.2500 0.7500 0.0000
Tm 0.7500 0.2500 0.0000
Al 0.2500 0.2500 0.4702
Al 0.7500 0.7500 0.5298
N 0.2500 0.2500 0.1010
N 0.7500 0.7500 0.8990
O 0.2500 0.7500 0.5000
O 0.7500 0.2500 0.5000

Values from the calculation:
Total magnetization, μB/f.u.: 0.04
Space group: No. 129

---

Arrangement D

## TmAlNO (PBE)

Data for a relaxed TmAlNO crystal.

Cell: 3.7656 3.7656 8.1974 Å, 90.00 90.00 90.00°
Positions (direct):
Tm 0.2500 0.2500 0.1335
Tm 0.7500 0.7500 0.8665
Al 0.2500 0.7500 0.5000
Al 0.7500 0.2500 0.5000
N 0.2500 0.2500 0.4325
N 0.7500 0.7500 0.5675
O 0.2500 0.7500 0.0000
O 0.7500 0.2500 0.0000

Values from the calculation:
Total magnetization, μB/f.u.: 0.75
Space group: No. 129

---

Stability summary: most stable arrangement A, least stable arrangement C.

---

Arrangement A

## TmAlNO (PBE)

Data for a relaxed TmAlNO crystal.

Cell: 4.9482 8.0934 4.8479 Å, 90.00 90.00 90.00°
Positions (direct):
Tm 0.0059 0.1322 0.0000
Tm 0.4941 0.1322 0.5000
Tm 0.5059 0.8678 0.0000
Tm 0.9941 0.8678 0.5000
Al 0.0399 0.6193 0.9693
Al 0.4601 0.6193 0.4693
Al 0.5399 0.3807 0.9693
Al 0.9601 0.3807 0.4693
N 0.0129 0.8459 0.9979
N 0.4871 0.8459 0.4979
N 0.5129 0.1541 0.9979
N 0.9871 0.1541 0.4979
O 0.1197 0.5674 0.6047
O 0.3803 0.5674 0.1047
O 0.6197 0.4326 0.6047
O 0.8803 0.4326 0.1047

Values from the calculation:
Total magnetization, μB/f.u.: 0.00
Space group: No. 29

---

Arrangement B

## TmAlNO (PBE)

Data for a relaxed TmAlNO crystal.

Cell: 3.3996 6.1501 5.0028 Å, 90.00 90.00 90.00°
Positions (direct):
Tm 0.0000 0.1643 0.0000
Tm 0.0000 0.8357 0.5000
Al 0.5000 0.3221 0.5249
Al 0.5000 0.6779 0.0249
N 0.0000 0.1944 0.4783
N 0.0000 0.8056 0.9783
O 0.5000 0.4079 0.8786
O 0.5000 0.5921 0.3786

Values from the calculation:
Total magnetization, μB/f.u.: 0.03
Space group: No. 26

---

Stability summary: most stable arrangement B, least stable arrangement A.

---

Arrangement A

## NaAlNiSn (PBE)

Data for a relaxed NaAlNiSn crystal.

Cell: 4.6757 4.6757 4.6757 Å, 60.00 60.00 60.00°
Positions (direct):
Na 0.0000 0.0000 0.0000
Al 0.7500 0.7500 0.7500
Ni 0.2500 0.2500 0.2500
Sn 0.5000 0.5000 0.5000

Values from the calculation:
Total magnetization, μB/f.u.: 0.00
Space group: No. 216

---

Arrangement B

## NaAlNiSn (PBE)

Data for a relaxed NaAlNiSn crystal.

Cell: 4.6039 4.6039 4.6039 Å, 60.00 60.00 60.00°
Positions (direct):
Na 0.0000 0.0000 0.0000
Al 0.2500 0.2500 0.2500
Ni 0.5000 0.5000 0.5000
Sn 0.7500 0.7500 0.7500

Values from the calculation:
Total magnetization, μB/f.u.: 0.01
Space group: No. 216

---

Stability summary: most stable arrangement B, least stable arrangement A.

---

Arrangement A

## NaAlTeOs (PBE)

Data for a relaxed NaAlTeOs crystal.

Cell: 4.7028 4.7028 4.7028 Å, 60.00 60.00 60.00°
Positions (direct):
Na 0.0000 0.0000 0.0000
Al 0.5000 0.5000 0.5000
Te 0.2500 0.2500 0.2500
Os 0.7500 0.7500 0.7500

Values from the calculation:
Total magnetization, μB/f.u.: 0.03
Space group: No. 216

---

Arrangement B

## NaAlTeOs (PBE)

Data for a relaxed NaAlTeOs crystal.

Cell: 4.6294 4.6294 4.6294 Å, 60.00 60.00 60.00°
Positions (direct):
Na 0.0000 0.0000 0.0000
Al 0.7500 0.7500 0.7500
Te 0.2500 0.2500 0.2500
Os 0.5000 0.5000 0.5000

Values from the calculation:
Total magnetization, μB/f.u.: 0.00
Space group: No. 216

---

Stability summary: most stable arrangement B, least stable arrangement A.